Record 1
First-principles (PBE) data for Ac8POs3Cl3 after structural relaxation, as listed in the Alexandria database.

Results
* uncorrected energy: -5.976 eV per atom
* Fermi-level density of states: 12.42 states/eV/f.u.

Unit cell a=8.8427 b=8.8427 c=22.5595 alpha=90.00 beta=90.00 gamma=120.00
Last column: nearest neighbours and their distance in Å.
Space group R-3m (No. 166, hexagonal axes)
One atom of each set of equivalent atoms:
Ac (0.0000, 0.0000, 0.2381) x6  3 Os 3.02, 3 Cl 3.34
Ac (0.0142, 0.5071, 0.7639) x18  2 Os 2.95, 1 P 3.09
P (0.0000, 0.0000, 0.5000) x3  6 Ac 3.09
Os (0.0000, 0.5000, 0.5000) x9  6 Ac 2.95-3.02
Cl (0.0000, 0.5000, 0.0000) x9  6 Ac 3.34-3.41


Record 2
First-principles (PBE) data for Ac8Os3PdCl4 after structural relaxation, as listed in the Alexandria database.

Results
* uncorrected energy: -5.887 eV per atom
* Fermi-level density of states: 6.34 states/eV/f.u.

Unit cell a=15.0152 b=8.6697 c=9.4108 alpha=90.00 beta=122.17 gamma=90.00
Last column: nearest neighbours and their distance in Å.
Space group C2/m (No. 12)
One atom of each set of equivalent atoms:
Ac (0.0183, 0.2412, 0.2964) x8  2 Os 2.95, 1 Pd 3.06
Ac (0.2349, 0.0000, 0.7045) x4  3 Os 2.99
Ac (0.2405, 0.5000, 0.7036) x4  2 Os 2.95, 1 Pd 3.06
Os (0.0000, 0.0000, 0.5000) x2  6 Ac 2.95-2.99
Os (0.2500, 0.2500, 0.5000) x4  6 Ac 2.95-2.99
Pd (0.0000, 0.5000, 0.5000) x2  6 Ac 3.06
Cl (0.0000, 0.0000, 0.0000) x2  6 Ac 3.37-3.38
Cl (0.0000, 0.5000, 0.0000) x2  6 Ac 3.43-3.47
Cl (0.2500, 0.2500, 0.0000) x4  6 Ac 3.44-3.47


Record 3
First-principles (PBE) data for Ac8Os3PtCl4 after structural relaxation, as listed in the Alexandria database.

Results
* uncorrected energy: -5.991 eV per atom
* Fermi-level density of states: 6.55 states/eV/f.u.

Unit cell a=8.6796 b=8.6796 c=23.8106 alpha=90.00 beta=90.00 gamma=120.00
Last column: nearest neighbours and their distance in Å.
Space group R-3m (No. 166, hexagonal axes)
One atom of each set of equivalent atoms:
Ac (0.0000, 0.0000, 0.2347) x6  3 Os 2.98
Ac (0.0097, 0.5049, 0.7657) x18  2 Os 2.95, 1 Pt 3.04
Os (0.0000, 0.5000, 0.5000) x9  6 Ac 2.95-2.98
Pt (0.0000, 0.0000, 0.5000) x3  6 Ac 3.04
Cl (0.0000, 0.0000, 0.0000) x3  6 Ac 3.39
Cl (0.0000, 0.5000, 0.0000) x9  6 Ac 3.43-3.47


Record 4
First-principles (PBE) data for Ac6Os2PtCl3 after structural relaxation, as listed in the Alexandria database.

Results
* uncorrected energy: -5.954 eV per atom
* Fermi-level density of states: 3.59 states/eV/f.u.

Unit cell a=7.5217 b=13.0423 c=8.3445 alpha=90.00 beta=107.33 gamma=90.00
Last column: nearest neighbours and their distance in Å.
Space group C2/m (No. 12)
One atom of each set of equivalent atoms:
Ac (0.2214, 0.0000, 0.2030) x4  2 Os 2.94, 1 Pt 3.06
Ac (0.2397, 0.3275, 0.2033) x8  2 Os 2.95-2.96, 1 Pt 3.06
Os (0.0000, 0.1662, 0.0000) x4  6 Ac 2.94-2.96
Pt (0.0000, 0.5000, 0.0000) x2  6 Ac 3.06
Cl (0.0000, 0.0000, 0.5000) x2  6 Ac 3.37-3.48
Cl (0.0000, 0.3252, 0.5000) x4  6 Ac 3.32-3.56